# 1
Pt2AuF: relaxed, PBE.

Properties
- total moment (μB/f.u.) = 1.456
- ΔE to the lowest computed polymorph (meV/atom) = 0.0
- uncorrected energy (eV/atom) = -4.073
- uncorrected formation energy (eV per atom) = 0.235

abc: 4.4375 4.4375 4.4375
angles: 60.00 60.00 60.00
Sites, in units of the cell vectors:
Pt  0.2500  0.2500  0.2500
Pt  0.7500  0.7500  0.7500
Au  0.0000  0.0000  0.0000
F  0.5000  0.5000  0.5000

# 2
Pt3AuF: relaxed, PBE.

Properties
- total moment (μB/f.u.) = 0.127
- ΔE to the lowest computed polymorph (meV/atom) = 674.1
- uncorrected energy (eV/atom) = -3.194
- uncorrected formation energy (eV per atom) = 1.460

abc: 4.9886 4.9886 4.9886
angles: 90.00 90.00 90.00
Sites, in units of the cell vectors:
Pt  0.0000  0.0000  0.5000
Pt  0.0000  0.5000  0.0000
Pt  0.5000  0.0000  0.0000
Au  0.0000  0.0000  0.0000
F  0.5000  0.5000  0.5000